# ErThPaAl, relaxed, DFT GGA-PBE
data_ErThPaAl
_chemical_formula_sum 'Er4 Th4 Pa4 Al4'
_cell_length_a 7.465
_cell_length_b 7.465
_cell_length_c 7.465
_cell_angle_alpha 90.00
_cell_angle_beta 90.00
_cell_angle_gamma 90.00
_space_group_name_H-M_alt 'F -4 3 m'
_space_group_IT_number 216
_space_group_name_Hall 'F -4 2 3'
loop_
_atom_site_label
_atom_site_fract_x
_atom_site_fract_y
_atom_site_fract_z
Er1 0.000 0.000 0.000
Th1 0.250 0.250 0.750
Pa1 0.000 0.000 0.500
Al1 0.250 0.250 0.250
# Uncorrected energy: -6.149 eV/atom
# ΔE_f: 157 meV per atom

# ErPaAlZn, relaxed, DFT GGA-PBE
data_ErPaAlZn
_chemical_formula_sum 'Er4 Pa4 Al4 Zn4'
_cell_length_a 7.106
_cell_length_b 7.106
_cell_length_c 7.106
_cell_angle_alpha 90.00
_cell_angle_beta 90.00
_cell_angle_gamma 90.00
_space_group_name_H-M_alt 'F -4 3 m'
_space_group_IT_number 216
_space_group_name_Hall 'F -4 2 3'
loop_
_atom_site_label
_atom_site_fract_x
_atom_site_fract_y
_atom_site_fract_z
Er1 0.000 0.000 0.000
Pa1 0.000 0.000 0.500
Al1 0.250 0.250 0.750
Zn1 0.250 0.250 0.250
# Uncorrected energy: -4.874 eV/atom
# ΔE_f: -105 meV per atom

# Er5Al2Pb, relaxed, DFT GGA-PBE
data_Er5Al2Pb
_chemical_formula_sum 'Er20 Al8 Pb4'
_cell_length_a 7.918
_cell_length_b 7.918
_cell_length_c 13.699
_cell_angle_alpha 90.00
_cell_angle_beta 90.00
_cell_angle_gamma 90.00
_space_group_name_H-M_alt 'I 4/m c m'
_space_group_IT_number 140
_space_group_name_Hall '-I 4 2c'
loop_
_atom_site_label
_atom_site_fract_x
_atom_site_fract_y
_atom_site_fract_z
Er1 0.000 0.000 0.000
Er2 0.162 0.338 0.146
Al1 0.128 0.372 0.500
Pb1 0.000 0.000 0.250
# Uncorrected energy: -4.630 eV/atom
# ΔE_f: -379 meV per atom

# Er2AlPb, relaxed, DFT GGA-PBE
data_Er2AlPb
_chemical_formula_sum 'Er2 Al1 Pb1'
_cell_length_a 3.418
_cell_length_b 3.418
_cell_length_c 8.701
_cell_angle_alpha 90.00
_cell_angle_beta 90.00
_cell_angle_gamma 90.00
_space_group_name_H-M_alt 'P 4/m m m'
_space_group_IT_number 123
_space_group_name_Hall '-P 4 2'
loop_
_atom_site_label
_atom_site_fract_x
_atom_site_fract_y
_atom_site_fract_z
Er1 0.000 0.000 0.228
Al1 0.500 0.500 0.000
Pb1 0.500 0.500 0.500
# Uncorrected energy: -4.522 eV/atom
# ΔE_f: -378 meV per atom

# ErAlPb2, relaxed, DFT GGA-PBE
data_ErAlPb2
_chemical_formula_sum 'Er3 Al3 Pb6'
_cell_length_a 3.5185
_cell_length_b 3.5185
_cell_length_c 32.4500
_cell_angle_alpha 90.00
_cell_angle_beta 90.00
_cell_angle_gamma 120.00
_space_group_name_H-M_alt 'R -3 m'
_space_group_IT_number 166
_space_group_name_Hall '-R 3 2"'
loop_
_atom_site_label
_atom_site_fract_x
_atom_site_fract_y
_atom_site_fract_z
Er1 0.0000 0.0000 0.0000
Al1 0.0000 0.0000 0.5000
Pb1 0.0000 0.0000 0.0967
# Uncorrected energy: -3.730 eV/atom
# ΔE_f: 200 meV per atom

# ErAlPb2, relaxed, DFT GGA-PBE
data_ErAlPb2
_chemical_formula_sum 'Er1 Al1 Pb2'
_cell_length_a 4.731
_cell_length_b 4.731
_cell_length_c 4.605
_cell_angle_alpha 90.00
_cell_angle_beta 90.00
_cell_angle_gamma 90.00
_space_group_name_H-M_alt 'P 4/m m m'
_space_group_IT_number 123
_space_group_name_Hall '-P 4 2'
loop_
_atom_site_label
_atom_site_fract_x
_atom_site_fract_y
_atom_site_fract_z
Er1 0.000 0.000 0.000
Al1 0.500 0.500 0.000
Pb1 0.000 0.500 0.500
# Uncorrected energy: -4.112 eV/atom
# ΔE_f: -181 meV per atom

# Er8Al2Pb, relaxed, DFT GGA-PBE
data_Er8Al2Pb
_chemical_formula_sum 'Er16 Al4 Pb2'
_cell_length_a 16.627
_cell_length_b 4.899
_cell_length_c 7.885
_cell_angle_alpha 90.00
_cell_angle_beta 111.22
_cell_angle_gamma 90.00
_space_group_name_H-M_alt 'C 1 2/m 1'
_space_group_IT_number 12
loop_
_space_group_symop_operation_xyz
'x,y,z'
'-x,-y,-z'
'-x,y,-z'
'x,-y,z'
'x+1/2,y+1/2,z'
'-x+1/2,-y+1/2,-z'
'-x+1/2,y+1/2,-z'
'x+1/2,-y+1/2,z'
loop_
_atom_site_label
_atom_site_fract_x
_atom_site_fract_y
_atom_site_fract_z
Er1 0.049 0.000 0.228
Er2 0.105 0.500 0.962
Er3 0.161 0.000 0.732
Er4 0.180 0.500 0.441
Al1 0.218 0.000 0.156
Pb1 0.000 0.500 0.500
# Uncorrected energy: -4.556 eV/atom
# ΔE_f: -220 meV per atom

# Er2AlPb, relaxed, DFT GGA-PBE
data_Er2AlPb
_chemical_formula_sum 'Er2 Al1 Pb1'
_cell_length_a 4.851
_cell_length_b 4.851
_cell_length_c 4.307
_cell_angle_alpha 90.00
_cell_angle_beta 90.00
_cell_angle_gamma 90.00
_space_group_name_H-M_alt 'P 4/m m m'
_space_group_IT_number 123
_space_group_name_Hall '-P 4 2'
loop_
_atom_site_label
_atom_site_fract_x
_atom_site_fract_y
_atom_site_fract_z
Er1 0.000 0.500 0.000
Al1 0.000 0.000 0.500
Pb1 0.500 0.500 0.500
# Uncorrected energy: -4.491 eV/atom
# ΔE_f: -347 meV per atom